First-principles (GGA-PBE) data for a relaxed structure of PaNi2H3, as listed in Alexandria.

Lattice parameters (Å, degrees): 4.7895 5.0533 5.0533 96.22 89.98 89.98
With the nearest neighbours (Å) after each atom.
Fractional positions:
Pa  0.2500  0.2902  0.7098  9 H 2.58-2.74, 8 Ni 2.83
Pa  0.7500  0.7098  0.2902  9 H 2.58-2.74, 8 Ni 2.83
Ni  0.0003  0.2004  0.2003  4 H 1.72-1.85
Ni  0.5003  0.2003  0.2004  4 H 1.72-1.85
Ni  0.9997  0.7996  0.7997  4 H 1.72-1.85
Ni  0.4997  0.7997  0.7996  4 H 1.72-1.85
H  0.7500  0.0528  0.9472  4 Ni 1.85
H  0.7500  0.2261  0.4453  2 Ni 1.72
H  0.2500  0.4453  0.2261  2 Ni 1.72
H  0.7500  0.5547  0.7739  2 Ni 1.72
H  0.2500  0.7739  0.5547  2 Ni 1.72
H  0.2500  0.9472  0.0528  4 Ni 1.85

Output
- raw total energy (eV/atom) = -5.345
- V (Å³ per cell) = 122
- calculated density (g/cm3) = 9.600



First-principles (GGA-PBE) data for a relaxed structure of PaNi3H6, as listed in Alexandria.

Lattice parameters (Å, degrees): 4.6413 4.6010 4.6006 81.84 115.91 115.93
With the nearest neighbours (Å) after each atom.
Fractional positions:
Pa  0.7737  0.8949  0.6951  11 H 2.32-2.46
Ni  0.5872  0.2353  0.0352  5 H 1.71-1.81
Ni  0.2745  0.6029  0.9817  5 H 1.64-1.77
Ni  0.2750  0.1818  0.4032  5 H 1.64-1.77
H  0.2930  0.3846  0.7138  3 Ni 1.75-1.81
H  0.2929  0.9136  0.1847  3 Ni 1.75-1.81
H  0.8414  0.0263  0.2135  2 Ni 1.64-1.71
H  0.2456  0.8651  0.6653  2 Ni 1.75
H  0.8409  0.4133  0.8255  2 Ni 1.64-1.71
H  0.5758  0.4823  0.2821  3 Ni 1.72-1.75

Output
- raw total energy (eV/atom) = -4.922
- V (Å³ per cell) = 79
- calculated density (g/cm3) = 8.649



First-principles (GGA-PBE) data for a relaxed structure of PaNiH4, as listed in Alexandria.

Lattice parameters (Å, degrees): 3.9357 4.4998 6.0547 90.00 108.97 90.00
With the nearest neighbours (Å) after each atom.
Fractional positions:
Pa  0.3705  0.7500  0.7410  9 H 2.32-2.35
Pa  0.6295  0.2500  0.2590  9 H 2.32-2.35
Ni  0.1011  0.7500  0.2022  4 H 1.61-1.65
Ni  0.8989  0.2500  0.7978  4 H 1.61-1.65
H  0.1978  0.4784  0.3957  1 Ni 1.65
H  0.8022  0.5216  0.6043  1 Ni 1.65
H  0.1978  0.0216  0.3957  1 Ni 1.65
H  0.8022  0.9784  0.6043  1 Ni 1.65
H  0.5747  0.7500  0.1493  2 Ni 1.99
H  0.4253  0.2500  0.8507  2 Ni 1.99
H  0.0000  0.5000  0.0000  2 Ni 1.61
H  0.0000  0.0000  0.0000  2 Ni 1.61

Output
- raw total energy (eV/atom) = -5.075
- V (Å³ per cell) = 101
- calculated density (g/cm3) = 9.621